Record 1
The following is a PBE calculation of crystalline ThNi4Sn4 at its relaxed geometry, from Alexandria via LeMat-Bulk.

Space-group type: P4_2/n, No. 86
ΔH_f (0 K): -179 kJ/mol of formula units

abc: 5.153 8.408 8.408
angles: 90.00 90.00 90.00
Sites, in units of the cell vectors:
Th 0.000 0.000 0.000
Th 0.500 0.500 0.500
Ni 0.594 0.793 0.359
Ni 0.594 0.207 0.641
Ni 0.094 0.859 0.707
Ni 0.906 0.293 0.859
Ni 0.906 0.707 0.141
Ni 0.406 0.359 0.207
Ni 0.406 0.641 0.793
Ni 0.094 0.141 0.293
Sn 0.409 0.339 0.893
Sn 0.909 0.607 0.839
Sn 0.409 0.661 0.107
Sn 0.091 0.161 0.607
Sn 0.591 0.893 0.661
Sn 0.091 0.839 0.393
Sn 0.909 0.393 0.161
Sn 0.591 0.107 0.339

Record 2
The following is a PBE calculation of crystalline ThNi12Sn6 at its relaxed geometry, from Alexandria via LeMat-Bulk.

Space-group type: R-3m, No. 166
ΔH_f (0 K): -180 kJ/mol of formula units

abc: 6.987 6.987 6.987
angles: 102.35 102.35 102.35
Sites, in units of the cell vectors:
Th 0.000 0.000 0.000
Ni 0.888 0.112 0.500
Ni 0.903 0.664 0.664
Ni 0.664 0.664 0.903
Ni 0.336 0.097 0.336
Ni 0.336 0.336 0.097
Ni 0.097 0.336 0.336
Ni 0.112 0.500 0.888
Ni 0.500 0.888 0.112
Ni 0.112 0.888 0.500
Ni 0.888 0.500 0.112
Ni 0.500 0.112 0.888
Ni 0.664 0.903 0.664
Sn 0.682 0.269 0.269
Sn 0.269 0.269 0.682
Sn 0.269 0.682 0.269
Sn 0.731 0.731 0.318
Sn 0.318 0.731 0.731
Sn 0.731 0.318 0.731

Record 3
The following is a PBE calculation of crystalline Th3NiSn at its relaxed geometry, from Alexandria via LeMat-Bulk.

Space-group type: Cmmm, No. 65
ΔH_f (0 K): -136 kJ/mol of formula units

abc: 4.892 7.781 8.410
angles: 117.56 90.00 90.00
Sites, in units of the cell vectors:
Th 0.500 0.310 0.000
Th 0.000 0.872 0.744
Th 0.500 0.690 0.000
Th 0.500 0.500 0.500
Th 0.000 0.128 0.256
Th 0.500 0.000 0.500
Ni 0.500 0.086 0.171
Ni 0.500 0.914 0.829
Sn 0.000 0.642 0.284
Sn 0.000 0.358 0.716

Record 4
The following is a PBE calculation of crystalline ThNi9Sn2 at its relaxed geometry, from Alexandria via LeMat-Bulk.

Space-group type: R-3m, No. 166
Distance to the lowest polymorph of the same formula: 0.003 eV per atom
ΔH_f (0 K): -312 kJ/mol of formula units

abc: 4.961 4.961 8.413
angles: 72.85 72.85 60.00
Sites, in units of the cell vectors:
Th 0.000 0.000 0.000
Ni 0.666 0.666 0.001
Ni 0.334 0.334 0.999
Ni 0.500 0.500 0.500
Ni 0.413 0.413 0.256
Ni 0.918 0.413 0.256
Ni 0.413 0.918 0.256
Ni 0.587 0.587 0.744
Ni 0.587 0.082 0.744
Ni 0.082 0.587 0.744
Sn 0.860 0.860 0.420
Sn 0.140 0.140 0.580

Record 5
The following is a PBE calculation of crystalline Th2NiSn2 at its relaxed geometry, from Alexandria via LeMat-Bulk.

Space-group type: C2/m, No. 12
ΔH_f (0 K): -261 kJ/mol of formula units

abc: 4.361 6.135 10.699
angles: 83.02 78.24 69.18
Sites, in units of the cell vectors:
Th 0.689 0.279 0.344
Th 0.912 0.288 0.889
Th 0.311 0.721 0.656
Th 0.088 0.712 0.111
Ni 0.542 0.210 0.707
Ni 0.458 0.790 0.293
Sn 0.070 0.282 0.579
Sn 0.639 0.847 0.874
Sn 0.930 0.718 0.421
Sn 0.361 0.153 0.126

Record 6
The following is a PBE calculation of crystalline Th2Ni5Sn at its relaxed geometry, from Alexandria via LeMat-Bulk.

Space-group type: I4mm, No. 107
ΔH_f (0 K): -258 kJ/mol of formula units

abc: 5.830 5.830 5.830
angles: 94.36 117.51 117.51
Sites, in units of the cell vectors:
Th 0.500 0.240 0.740
Th 0.500 0.740 0.240
Ni 0.403 0.702 0.702
Ni 0.000 0.702 0.300
Ni 0.000 0.300 0.702
Ni 0.597 0.300 0.300
Ni 0.000 0.282 0.282
Sn 0.000 0.957 0.957

Record 7
The following is a PBE calculation of crystalline ThZnNiSn at its relaxed geometry, from Alexandria via LeMat-Bulk.

Space-group type: F-43m, No. 216
ΔH_f (0 K): -131 kJ/mol of formula units

abc: 4.853 4.853 4.853
angles: 60.00 60.00 60.00
Sites, in units of the cell vectors:
Ni 0.500 0.500 0.500
Zn 0.000 0.000 0.000
Sn 0.250 0.250 0.250
Th 0.750 0.750 0.750

Record 8
The following is a PBE calculation of crystalline Ti2Ni9Sn at its relaxed geometry, from Alexandria via LeMat-Bulk.

Space-group type: P4/mmm, No. 123
ΔH_f (0 K): -441 kJ/mol of formula units

abc: 3.653 3.653 10.939
angles: 90.00 90.00 90.00
Sites, in units of the cell vectors:
Ti 0.000 0.000 0.337
Ti 0.000 0.000 0.663
Ni 0.500 0.500 0.000
Ni 0.500 0.500 0.337
Ni 0.500 0.500 0.663
Ni 0.500 0.000 0.176
Ni 0.500 0.000 0.500
Ni 0.500 0.000 0.824
Ni 0.000 0.500 0.176
Ni 0.000 0.500 0.500
Ni 0.000 0.500 0.824
Sn 0.000 0.000 0.000

Record 9
The following is a PBE calculation of crystalline TiNiSn at its relaxed geometry, from Alexandria via LeMat-Bulk.

Space-group type: Pmma, No. 51
ΔH_f (0 K): -17 kJ/mol of formula units

abc: 7.188 3.110 5.071
angles: 90.00 90.00 90.00
Sites, in units of the cell vectors:
Ni 0.000 0.500 0.500
Ni 0.500 0.500 0.500
Sn 0.250 0.500 0.877
Sn 0.750 0.500 0.123
Ti 0.250 0.000 0.364
Ti 0.750 0.000 0.636

Record 10
The following is a PBE calculation of crystalline Ti4Ni15Sn at its relaxed geometry, from Alexandria via LeMat-Bulk.

Space-group type: P4/mmm, No. 123
ΔH_f (0 K): -805 kJ/mol of formula units

abc: 3.632 3.632 18.194
angles: 90.00 90.00 90.00
Sites, in units of the cell vectors:
Ti 0.000 0.000 0.203
Ti 0.000 0.000 0.401
Ti 0.000 0.000 0.599
Ti 0.000 0.000 0.797
Ni 0.500 0.500 0.000
Ni 0.500 0.500 0.204
Ni 0.500 0.500 0.401
Ni 0.500 0.500 0.599
Ni 0.500 0.500 0.796
Ni 0.500 0.000 0.107
Ni 0.500 0.000 0.303
Ni 0.500 0.000 0.500
Ni 0.500 0.000 0.697
Ni 0.500 0.000 0.893
Ni 0.000 0.500 0.107
Ni 0.000 0.500 0.303
Ni 0.000 0.500 0.500
Ni 0.000 0.500 0.697
Ni 0.000 0.500 0.893
Sn 0.000 0.000 0.000

Record 11
The following is a PBE calculation of crystalline TiNi6Sn at its relaxed geometry, from Alexandria via LeMat-Bulk.

Space-group type: Cmmm, No. 65
Distance to the lowest polymorph of the same formula: 0.000 eV per atom
ΔH_f (0 K): -253 kJ/mol of formula units

abc: 6.357 6.357 10.401
angles: 90.00 90.00 109.54
Sites, in units of the cell vectors:
Ti 0.747 0.253 0.000
Ti 0.253 0.747 0.000
Ti 0.500 0.500 0.754
Ti 0.500 0.500 0.246
Ni 0.745 0.255 0.756
Ni 0.128 0.382 0.879
Ni 0.872 0.618 0.879
Ni 0.255 0.745 0.756
Ni 0.618 0.872 0.879
Ni 0.382 0.128 0.879
Ni 0.500 0.500 0.500
Ni 0.867 0.622 0.629
Ni 0.622 0.867 0.629
Ni 0.745 0.255 0.244
Ni 0.133 0.378 0.371
Ni 0.867 0.622 0.371
Ni 0.255 0.745 0.244
Ni 0.622 0.867 0.371
Ni 0.378 0.133 0.371
Ni 0.500 0.500 0.000
Ni 0.872 0.618 0.121
Ni 0.618 0.872 0.121
Ni 0.000 0.000 0.500
Ni 0.378 0.133 0.629
Ni 0.133 0.378 0.629
Ni 0.000 0.000 0.000
Ni 0.382 0.128 0.121
Ni 0.128 0.382 0.121
Sn 0.750 0.250 0.500
Sn 0.250 0.750 0.500
Sn 0.000 0.000 0.754
Sn 0.000 0.000 0.246

Record 12
The following is a PBE calculation of crystalline TiNiSn at its relaxed geometry, from Alexandria via LeMat-Bulk.

Space-group type: P2_1/c, No. 14
ΔH_f (0 K): -70 kJ/mol of formula units

abc: 12.283 6.050 6.023
angles: 90.00 152.70 90.00
Sites, in units of the cell vectors:
Ni 0.720 0.983 0.928
Ni 0.280 0.017 0.072
Ni 0.780 0.483 0.572
Ni 0.220 0.517 0.428
Sn 0.565 0.348 0.813
Sn 0.435 0.652 0.187
Sn 0.935 0.848 0.687
Sn 0.065 0.152 0.313
Ti 0.933 0.653 0.203
Ti 0.067 0.347 0.797
Ti 0.567 0.153 0.297
Ti 0.433 0.847 0.703

Record 13
The following is a PBE calculation of crystalline TiNiSn at its relaxed geometry, from Alexandria via LeMat-Bulk.

Space-group type: F-43m, No. 216
ΔH_f (0 K): -154 kJ/mol of formula units

abc: 4.208 4.208 4.208
angles: 60.00 60.00 60.00
Sites, in units of the cell vectors:
Ni 0.250 0.250 0.250
Sn 0.000 0.000 0.000
Ti 0.500 0.500 0.500

Record 14
The following is a PBE calculation of crystalline Ti2NiSn4 at its relaxed geometry, from Alexandria via LeMat-Bulk.

Space-group type: I4/mmm, No. 139
ΔH_f (0 K): 112 kJ/mol of formula units

abc: 5.005 5.005 7.564
angles: 70.68 70.68 90.00
Sites, in units of the cell vectors:
Ni 0.000 0.000 0.000
Sn 0.188 0.188 0.623
Sn 0.812 0.812 0.377
Sn 0.000 0.500 0.000
Sn 0.500 0.000 0.000
Ti 0.398 0.398 0.204
Ti 0.602 0.602 0.796

Record 15
The following is a PBE calculation of crystalline TiNiSn at its relaxed geometry, from Alexandria via LeMat-Bulk.

Space-group type: Imm2, No. 44
ΔH_f (0 K): -26 kJ/mol of formula units

abc: 4.674 8.942 6.297
angles: 44.76 68.21 90.00
Sites, in units of the cell vectors:
Ni 0.585 0.585 0.831
Ni 0.958 0.236 0.084
Ni 0.958 0.680 0.084
Sn 0.219 0.719 0.562
Sn 0.293 0.129 0.413
Sn 0.293 0.458 0.413
Ti 0.597 0.260 0.806
Ti 0.597 0.934 0.806
Ti 0.938 0.938 0.125

Record 16
The following is a PBE calculation of crystalline Ti3NiSn at its relaxed geometry, from Alexandria via LeMat-Bulk.

Space-group type: Pm-3m, No. 221
Distance to the lowest polymorph of the same formula: 0.000 eV per atom
ΔH_f (0 K): -3 kJ/mol of formula units

abc: 4.553 4.553 4.553
angles: 90.00 90.00 90.00
Sites, in units of the cell vectors:
Ni 0.000 0.000 0.000
Sn 0.500 0.500 0.500
Ti 0.000 0.500 0.000
Ti 0.000 0.000 0.500
Ti 0.500 0.000 0.000

Record 17
The following is a PBE calculation of crystalline TiNiSn at its relaxed geometry, from Alexandria via LeMat-Bulk.

Space-group type: Pmmm, No. 47
ΔH_f (0 K): -8 kJ/mol of formula units

abc: 3.950 3.229 4.332
angles: 90.00 90.00 90.00
Sites, in units of the cell vectors:
Ni 0.000 0.500 0.000
Sn 0.000 0.000 0.500
Ti 0.500 0.000 0.000

Record 18
The following is a PBE calculation of crystalline Ti2Ni8Sn at its relaxed geometry, from Alexandria via LeMat-Bulk.

Space-group type: C2/m, No. 12
ΔH_f (0 K): -307 kJ/mol of formula units

abc: 3.691 5.902 6.837
angles: 105.79 105.66 90.00
Sites, in units of the cell vectors:
Ti 0.778 0.338 0.556
Ti 0.222 0.662 0.444
Ni 0.408 0.538 0.815
Ni 0.682 0.907 0.364
Ni 0.854 0.803 0.708
Ni 0.957 0.285 0.914
Ni 0.146 0.197 0.292
Ni 0.318 0.093 0.636
Ni 0.592 0.462 0.185
Ni 0.043 0.715 0.086
Sn 0.500 0.000 0.000

Record 19
The following is a PBE calculation of crystalline Ti2Ni2Sn at its relaxed geometry, from Alexandria via LeMat-Bulk.

Space-group type: I4/mmm, No. 139
ΔH_f (0 K): -93 kJ/mol of formula units

abc: 4.036 4.036 5.786
angles: 69.59 69.59 90.00
Site moments in Bohr magnetons follow the coordinates.
Sites, in units of the cell vectors:
Ni 0.388 0.388 0.224  0.05
Ni 0.612 0.612 0.776  0.05
Sn 0.000 0.000 0.000  0.00
Ti 0.750 0.250 0.500  0.15
Ti 0.250 0.750 0.500  0.15

Record 20
The following is a PBE calculation of crystalline TiNiSn at its relaxed geometry, from Alexandria via LeMat-Bulk.

Space-group type: P3m1, No. 156
ΔH_f (0 K): -86 kJ/mol of formula units

abc: 3.038 4.344 4.344
angles: 120.00 90.00 90.00
Sites, in units of the cell vectors:
Ni 0.169 0.667 0.333
Sn 0.165 0.000 0.000
Ti 0.666 0.333 0.667

Record 21
The following is a PBE calculation of crystalline Ti4Ni2Sn at its relaxed geometry, from Alexandria via LeMat-Bulk.

Space-group type: R-3m, No. 166
ΔH_f (0 K): -9 kJ/mol of formula units

abc: 3.995 3.995 9.307
angles: 77.61 77.61 60.00
Sites, in units of the cell vectors:
Ti 0.395 0.395 0.814
Ti 0.198 0.198 0.406
Ti 0.802 0.802 0.594
Ti 0.605 0.605 0.186
Ni 0.103 0.103 0.692
Ni 0.897 0.897 0.308
Sn 0.000 0.000 0.000

Record 22
The following is a PBE calculation of crystalline TiNi15Sn4 at its relaxed geometry, from Alexandria via LeMat-Bulk.

Space-group type: P4/mmm, No. 123
ΔH_f (0 K): -472 kJ/mol of formula units

abc: 3.718 3.718 18.451
angles: 90.00 90.00 90.00
Sites, in units of the cell vectors:
Ti 0.000 0.000 0.000
Ni 0.500 0.500 0.000
Ni 0.500 0.500 0.196
Ni 0.500 0.500 0.398
Ni 0.500 0.500 0.602
Ni 0.500 0.500 0.804
Ni 0.500 0.000 0.093
Ni 0.500 0.000 0.297
Ni 0.500 0.000 0.500
Ni 0.500 0.000 0.703
Ni 0.500 0.000 0.907
Ni 0.000 0.500 0.093
Ni 0.000 0.500 0.297
Ni 0.000 0.500 0.500
Ni 0.000 0.500 0.703
Ni 0.000 0.500 0.907
Sn 0.000 0.000 0.196
Sn 0.000 0.000 0.399
Sn 0.000 0.000 0.601
Sn 0.000 0.000 0.804